A plane-wave DFT calculation with PBE with a Hubbard U was carried out for a relaxed structure of KCaEuFeO6.

Cell lengths 5.817, 5.817, 5.817 Å; angles 60.00, 60.00, 60.00 degrees
Site moments in Bohr magnetons follow the coordinates.
Sites, in units of the cell vectors:
Ca1 0.250 0.250 0.250  0.02
O1 0.269 0.731 0.731  -0.27
O2 0.731 0.731 0.269  -0.27
O3 0.731 0.269 0.731  -0.27
O4 0.269 0.269 0.731  -0.27
O5 0.269 0.731 0.269  -0.27
O6 0.731 0.269 0.269  -0.27
Eu1 0.000 0.000 0.000  6.06
Fe1 0.500 0.500 0.500  3.63
K1 0.750 0.750 0.750  0.01

Results
The value obtained for the total magnetization is 0.798 μB/atom. The space group is F-43m. Its raw total energy is -6.535 eV/atom. The crystal system is cubic.